1.
Crystalline NaAg4S2 at its relaxed geometry, computed with PBE-GGA.

Cell lengths 3.9893, 8.3139, 8.3139 Å; angles 90.00, 90.00, 90.00 degrees
Element x y z (fractional)
Ag  0.5000  0.4028  0.8476
S  0.5000  0.3155  0.3155
Ag  0.5000  0.5972  0.1524
Ag  0.0000  0.9028  0.6524
Ag  0.0000  0.6524  0.9028
Na  0.0000  0.5000  0.5000
S  0.5000  0.6845  0.6845
Ag  0.0000  0.0972  0.3476
Na  0.5000  0.0000  0.0000
S  0.0000  0.1845  0.8155
S  0.0000  0.8155  0.1845
Ag  0.5000  0.8476  0.4028
Ag  0.0000  0.3476  0.0972
Ag  0.5000  0.1524  0.5972

Values from the calculation:
Space-group type: No. 136



2.
Crystalline NaAg4S2 at its relaxed geometry, computed with PBE-GGA.

Cell lengths 4.5199, 4.5199, 8.0884 Å; angles 73.78, 73.77, 60.00 degrees
Element x y z (fractional)
S  0.2682  0.2682  0.1953
Na  0.0000  0.0000  0.0000
S  0.7318  0.7318  0.8047
Ag  0.8490  0.8490  0.4529
Ag  0.5696  0.5696  0.2913
Ag  0.1510  0.1510  0.5471
Ag  0.4304  0.4304  0.7087

Values from the calculation:
Space-group type: No. 166



Computed total magnetization (μB/f.u.) in order:
0.0, 0.0
Computed formation energy without anion corrections (eV/atom) in order:
-0.211, -0.136
Computed D(E_F) (states/eV/f.u.) in order:
1.3, 3.6